Tb3Rh8Au: relaxed, PBE.

Summary:
Total DFT energy (no corrections)   -6.8954 eV per atom
Formation energy   -0.56 eV/atom
V   17.61 Å³ per atom

Unit cell a=5.2995 b=5.2995 c=9.2116 alpha=73.28 beta=73.28 gamma=60.00
Atoms (fractional coordinates):
Tb 0.6239 0.6239 0.1284
Tb 0.0078 0.0078 0.9766
Tb 0.4936 0.4936 0.5193
Rh 0.5626 0.0605 0.8142
Rh 0.0617 0.5625 0.3140
Rh 0.5626 0.5626 0.8142
Rh 0.0617 0.0617 0.3140
Rh 0.8118 0.8118 0.5647
Rh 0.3119 0.3119 0.0643
Rh 0.0605 0.5626 0.8142
Rh 0.5625 0.0617 0.3140
Au 0.1293 0.1293 0.6121